The following is a DFT calculation (PBE) of an optimized crystal structure of YZrCSe.

## Properties
As for the relative energy among the computed polymorphs: 0.00 kcal/mol of atoms.

The structure in POSCAR format:
```
YZrCSe
1.0
3.5924 0.0000 0.0000
-1.7962 3.1111 0.0000
0.0000 0.0000 13.0705
Y Zr C Se
2 2 2 2
direct
0.3333 0.6667 0.0000
0.6667 0.3333 0.5000
0.3333 0.6667 0.3032
0.6667 0.3333 0.8032
0.0000 0.0000 0.3909
0.0000 0.0000 0.8909
0.3333 0.6667 0.6585
0.6667 0.3333 0.1585
```

The following is a DFT calculation (PBE) of an optimized crystal structure of ScIrNO.

## Properties
As for the relative energy among the computed polymorphs: 9.55 kcal/mol of atoms.

The structure in POSCAR format:
```
ScIrNO
1.0
3.7267 0.0000 0.0000
0.0000 3.7267 0.0000
0.0000 0.0000 7.0178
Sc Ir N O
2 2 2 2
direct
0.2500 0.2500 0.1337
0.7500 0.7500 0.8663
0.2500 0.7500 0.5000
0.7500 0.2500 0.5000
0.2500 0.2500 0.6582
0.7500 0.7500 0.3418
0.2500 0.7500 0.0000
0.7500 0.2500 0.0000
```

The following is a DFT calculation (PBE) of an optimized crystal structure of MgNb2In.

The structure in POSCAR format:
```
MgNb2In
1.0
6.7666 0.0000 0.0000
0.0000 6.7666 0.0000
0.0000 0.0000 6.7666
Mg Nb In
4 8 4
direct
0.0000 0.0000 0.0000
0.0000 0.5000 0.5000
0.5000 0.0000 0.5000
0.5000 0.5000 0.0000
0.0000 0.0000 0.5000
0.0000 0.5000 0.0000
0.2500 0.2500 0.7500
0.2500 0.7500 0.2500
0.5000 0.0000 0.0000
0.5000 0.5000 0.5000
0.7500 0.2500 0.2500
0.7500 0.7500 0.7500
0.2500 0.2500 0.2500
0.2500 0.7500 0.7500
0.7500 0.2500 0.7500
0.7500 0.7500 0.2500
```

The following is a DFT calculation (PBE) of an optimized crystal structure of YBeZnCo.

## Properties
As for the relative energy among the computed polymorphs: 0.05 kcal/mol of atoms.

The structure in POSCAR format:
```
YBeZnCo
1.0
6.2606 0.0000 0.0000
0.0000 6.2606 0.0000
0.0000 0.0000 6.2606
Y Be Zn Co
4 4 4 4
direct
0.0000 0.0000 0.0000
0.0000 0.5000 0.5000
0.5000 0.0000 0.5000
0.5000 0.5000 0.0000
0.2500 0.2500 0.2500
0.2500 0.7500 0.7500
0.7500 0.2500 0.7500
0.7500 0.7500 0.2500
0.0000 0.0000 0.5000
0.0000 0.5000 0.0000
0.5000 0.0000 0.0000
0.5000 0.5000 0.5000
0.2500 0.2500 0.7500
0.2500 0.7500 0.2500
0.7500 0.2500 0.2500
0.7500 0.7500 0.7500
```

The following is a DFT calculation (PBE) of an optimized crystal structure of RbAg3OsO4.

The structure in POSCAR format:
```
RbAg3OsO4
1.0
5.7401 0.0000 0.0000
0.0000 5.7401 0.0000
0.0000 0.0000 5.7401
Rb Ag Os O
1 3 1 4
direct
0.0000 0.0000 0.0000
0.0000 0.5000 0.5000
0.5000 0.0000 0.5000
0.5000 0.5000 0.0000
0.5000 0.5000 0.5000
0.3052 0.3052 0.3052
0.3052 0.6948 0.6948
0.6948 0.3052 0.6948
0.6948 0.6948 0.3052
```

The following is a DFT calculation (PBE) of an optimized crystal structure of HoErGa2Pd4.

## Properties
As for the relative energy among the computed polymorphs: 0.00 kcal/mol of atoms.

The structure in POSCAR format:
```
HoErGa2Pd4
1.0
4.3950 0.0000 0.0000
-2.1975 3.8062 0.0000
0.0000 0.0000 8.9802
Ho Er Ga Pd
1 1 2 4
direct
0.0000 0.0000 0.0000
0.6667 0.3333 0.5000
0.3333 0.6667 0.2500
0.3333 0.6667 0.7500
0.0000 0.0000 0.3316
0.0000 0.0000 0.6684
0.6667 0.3333 0.1686
0.6667 0.3333 0.8314
```

The following is a DFT calculation (PBE) of an optimized crystal structure of Al2Cd2Ge3.

The structure in POSCAR format:
```
Al2Cd2Ge3
1.0
2.3741 1.3707 7.5636
-2.3741 1.3707 7.5636
0.0000 -2.7413 7.5636
Al Cd Ge
2 2 3
direct
0.0000 0.0000 0.0000
0.4965 0.4965 0.4965
0.2354 0.2354 0.2354
0.7551 0.7551 0.7551
0.3736 0.3736 0.3736
0.6268 0.6268 0.6268
0.8754 0.8754 0.8754
```

The following is a DFT calculation (PBE) of an optimized crystal structure of NdGa2Hg.

## Properties
As for the relative energy among the computed polymorphs: 0.26 kcal/mol of atoms.

The structure in POSCAR format:
```
NdGa2Hg
1.0
4.7228 0.0000 0.0000
0.0000 11.5426 0.0000
0.0000 0.0000 6.6173
Nd Ga Hg
4 8 4
direct
0.2500 0.1685 0.0000
0.2500 0.6685 0.5000
0.7500 0.3315 0.5000
0.7500 0.8315 0.0000
0.2500 0.1499 0.4831
0.2500 0.4277 0.7684
0.2500 0.6499 0.9831
0.2500 0.9277 0.2684
0.7500 0.0723 0.2684
0.7500 0.3501 0.9831
0.7500 0.5723 0.7684
0.7500 0.8501 0.4831
0.2500 0.4182 0.2227
0.2500 0.9182 0.7227
0.7500 0.0818 0.7227
0.7500 0.5818 0.2227
```

The following is a DFT calculation (PBE) of an optimized crystal structure of AcLuO3.

The structure in POSCAR format:
```
AcLuO3
1.0
3.1209 1.8019 5.2598
-3.1209 1.8019 5.2598
0.0000 -3.6037 5.2598
Ac Lu O
2 2 6
direct
0.0000 0.0000 0.0000
0.5000 0.5000 0.5000
0.2500 0.2500 0.2500
0.7500 0.7500 0.7500
0.0801 0.7500 0.4199
0.2500 0.5801 0.9199
0.4199 0.0801 0.7500
0.5801 0.9199 0.2500
0.7500 0.4199 0.0801
0.9199 0.2500 0.5801
```

The following is a DFT calculation (PBE) of an optimized crystal structure of TbHoNi2Ge4.

The structure in POSCAR format:
```
TbHoNi2Ge4
1.0
4.1879 0.0000 0.0000
0.0000 4.1052 0.0000
0.0000 0.0000 16.6991
Tb Ho Ni Ge
2 2 4 8
direct
0.0000 0.0000 0.0000
0.0000 0.5000 0.5000
0.5000 0.0000 0.2161
0.5000 0.5000 0.7161
0.0000 0.0000 0.7864
0.0000 0.5000 0.2864
0.5000 0.0000 0.4291
0.5000 0.5000 0.9291
0.0000 0.0000 0.3591
0.0000 0.0000 0.6491
0.0000 0.5000 0.1491
0.0000 0.5000 0.8591
0.5000 0.0000 0.5670
0.5000 0.0000 0.8563
0.5000 0.5000 0.0670
0.5000 0.5000 0.3563
```

The following is a DFT calculation (PBE) of an optimized crystal structure of Tb3TePd.

The structure in POSCAR format:
```
Tb3TePd
1.0
4.1313 0.0000 0.0000
-2.0634 5.8466 0.0000
-2.0654 -1.7395 5.6050
Tb Te Pd
3 1 1
direct
0.0000 0.0000 0.0000
0.0133 0.4188 0.6097
0.4526 0.6521 0.2511
0.2760 0.9832 0.5703
0.6834 0.3795 0.9885
```

The following is a DFT calculation (PBE) of an optimized crystal structure of LiZnCoW.

## Properties
As for the relative energy among the computed polymorphs: 0.00 kcal/mol of atoms.

The structure in POSCAR format:
```
LiZnCoW
1.0
5.8110 0.0000 0.0000
0.0000 5.8110 0.0000
0.0000 0.0000 5.8110
Li Zn Co W
4 4 4 4
direct
0.0000 0.0000 0.0000
0.0000 0.5000 0.5000
0.5000 0.0000 0.5000
0.5000 0.5000 0.0000
0.2500 0.2500 0.2500
0.2500 0.7500 0.7500
0.7500 0.2500 0.7500
0.7500 0.7500 0.2500
0.0000 0.0000 0.5000
0.0000 0.5000 0.0000
0.5000 0.0000 0.0000
0.5000 0.5000 0.5000
0.2500 0.2500 0.7500
0.2500 0.7500 0.2500
0.7500 0.2500 0.2500
0.7500 0.7500 0.7500
```

The following is a DFT calculation (PBE) of an optimized crystal structure of Mg2CuIr.

The structure in POSCAR format:
```
Mg2CuIr
1.0
3.1768 0.0000 0.0000
0.0000 3.1768 0.0000
0.0000 0.0000 6.0305
Mg Cu Ir
2 1 1
direct
0.0000 0.0000 0.2421
0.0000 0.0000 0.7579
0.5000 0.5000 0.5000
0.5000 0.5000 0.0000
```

The following is a DFT calculation (PBE) of an optimized crystal structure of LuBeAsOs.

## Properties
As for the relative energy among the computed polymorphs: 8.45 kcal/mol of atoms.

The structure in POSCAR format:
```
LuBeAsOs
1.0
6.3897 0.0000 0.0000
0.0000 6.3897 0.0000
0.0000 0.0000 6.3897
Lu Be As Os
4 4 4 4
direct
0.0000 0.0000 0.0000
0.0000 0.5000 0.5000
0.5000 0.0000 0.5000
0.5000 0.5000 0.0000
0.0000 0.0000 0.5000
0.0000 0.5000 0.0000
0.5000 0.0000 0.0000
0.5000 0.5000 0.5000
0.2500 0.2500 0.7500
0.2500 0.7500 0.2500
0.7500 0.2500 0.2500
0.7500 0.7500 0.7500
0.2500 0.2500 0.2500
0.2500 0.7500 0.7500
0.7500 0.2500 0.7500
0.7500 0.7500 0.2500
```

The following is a DFT calculation (PBE) of an optimized crystal structure of AcGeW.

## Properties
As for the relative energy among the computed polymorphs: 0.00 kcal/mol of atoms.

The structure in POSCAR format:
```
AcGeW
1.0
6.8028 0.0000 0.0000
0.0000 6.8028 0.0000
0.0000 0.0000 6.8028
Ac Ge W
4 4 4
direct
0.0000 0.0000 0.0000
0.0000 0.5000 0.5000
0.5000 0.0000 0.5000
0.5000 0.5000 0.0000
0.2500 0.2500 0.2500
0.2500 0.7500 0.7500
0.7500 0.2500 0.7500
0.7500 0.7500 0.2500
0.0000 0.0000 0.5000
0.0000 0.5000 0.0000
0.5000 0.0000 0.0000
0.5000 0.5000 0.5000
```

The following is a DFT calculation (PBE) of an optimized crystal structure of KZrPdS3.

The structure in POSCAR format:
```
KZrPdS3
1.0
14.3860 0.0000 0.0000
0.0000 3.7650 0.0000
0.0000 0.0000 10.2539
K Zr Pd S
4 4 4 12
direct
0.2354 0.2500 0.0441
0.2646 0.7500 0.5441
0.7354 0.2500 0.4559
0.7646 0.7500 0.9559
0.0172 0.2500 0.3301
0.4828 0.7500 0.8301
0.5172 0.2500 0.1699
0.9828 0.7500 0.6699
0.0014 0.2500 0.9015
0.4986 0.7500 0.4015
0.5014 0.2500 0.5985
0.9986 0.7500 0.0985
0.0886 0.2500 0.5669
0.0968 0.7500 0.8628
0.1306 0.7500 0.2632
0.3694 0.2500 0.7632
0.4032 0.2500 0.3628
0.4114 0.7500 0.0669
0.5886 0.2500 0.9331
0.5968 0.7500 0.6372
0.6306 0.7500 0.2368
0.8694 0.2500 0.7368
0.9032 0.2500 0.1372
0.9114 0.7500 0.4331
```

The following is a DFT calculation (PBE) of an optimized crystal structure of TbMgPd.

The structure in POSCAR format:
```
TbMgPd
1.0
6.6382 0.0000 0.0000
0.0000 6.6382 0.0000
0.0000 0.0000 6.6382
Tb Mg Pd
4 4 4
direct
0.0000 0.0000 0.0000
0.0000 0.5000 0.5000
0.5000 0.0000 0.5000
0.5000 0.5000 0.0000
0.0000 0.0000 0.5000
0.0000 0.5000 0.0000
0.5000 0.0000 0.0000
0.5000 0.5000 0.5000
0.2500 0.2500 0.7500
0.2500 0.7500 0.2500
0.7500 0.2500 0.2500
0.7500 0.7500 0.7500
```

The following is a DFT calculation (PBE) of an optimized crystal structure of ThZnCu.

## Properties
The calculated formation energy comes out at -0.28 eV/f.u.

The structure in POSCAR format:
```
ThZnCu
1.0
6.4259 0.0000 0.0000
0.0000 6.4259 0.0000
0.0000 0.0000 6.4259
Th Zn Cu
4 4 4
direct
0.0000 0.0000 0.0000
0.0000 0.5000 0.5000
0.5000 0.0000 0.5000
0.5000 0.5000 0.0000
0.0000 0.0000 0.5000
0.0000 0.5000 0.0000
0.5000 0.0000 0.0000
0.5000 0.5000 0.5000
0.2500 0.2500 0.2500
0.2500 0.7500 0.7500
0.7500 0.2500 0.7500
0.7500 0.7500 0.2500
```

The following is a DFT calculation (PBE) of an optimized crystal structure of LiLuZnFe.

## Properties
As for the relative energy among the computed polymorphs: 0.00 kcal/mol of atoms.

The structure in POSCAR format:
```
LiLuZnFe
1.0
6.3347 0.0000 0.0000
0.0000 6.3347 0.0000
0.0000 0.0000 6.3347
Li Lu Zn Fe
4 4 4 4
direct
0.0000 0.0000 0.0000
0.0000 0.5000 0.5000
0.5000 0.0000 0.5000
0.5000 0.5000 0.0000
0.2500 0.2500 0.7500
0.2500 0.7500 0.2500
0.7500 0.2500 0.2500
0.7500 0.7500 0.7500
0.2500 0.2500 0.2500
0.2500 0.7500 0.7500
0.7500 0.2500 0.7500
0.7500 0.7500 0.2500
0.0000 0.0000 0.5000
0.0000 0.5000 0.0000
0.5000 0.0000 0.0000
0.5000 0.5000 0.5000
```

The following is a DFT calculation (PBE) of an optimized crystal structure of KSnW.

## Properties
As for the relative energy among the computed polymorphs: 0.00 kcal/mol of atoms.

The structure in POSCAR format:
```
KSnW
1.0
7.0472 0.0000 0.0000
0.0000 7.0472 0.0000
0.0000 0.0000 7.0472
K Sn W
4 4 4
direct
0.0000 0.0000 0.0000
0.0000 0.5000 0.5000
0.5000 0.0000 0.5000
0.5000 0.5000 0.0000
0.0000 0.0000 0.5000
0.0000 0.5000 0.0000
0.5000 0.0000 0.0000
0.5000 0.5000 0.5000
0.2500 0.2500 0.2500
0.2500 0.7500 0.7500
0.7500 0.2500 0.7500
0.7500 0.7500 0.2500
```

What did we get for DFT total energy? Answer: -64.64, -65.44, -93.38, -72.74, -42.26, -43.13, -21.33, -51.71, -78.33, -88.90, -26.12, -91.46, -16.64, -93.40, -77.43, -137.55, -51.84, -50.71, -62.45, -54.07 eV for the cell shown, in the order shown.
What did we get for calculated volume? Answer: 18.260, 12.183, 19.364, 15.336, 21.014, 18.778, 21.096, 22.546, 17.747, 17.944, 27.076, 12.264, 15.215, 16.305, 26.235, 23.141, 24.376, 22.112, 15.887, 29.166 Å³/atom, in the order shown.